# PmLuAl2 (PBE, relaxed)
data_PmLuAl2
_chemical_formula_sum 'Pm1 Lu1 Al2'
_space_group_name_H-M_alt 'P 4/m m m'
_space_group_IT_number 123
_space_group_name_Hall '-P 4 2'
_cell_length_a 3.618
_cell_length_b 3.618
_cell_length_c 7.187
_cell_angle_alpha 90.00
_cell_angle_beta 90.00
_cell_angle_gamma 90.00
loop_
_atom_site_label
_atom_site_type_symbol
_atom_site_fract_x
_atom_site_fract_y
_atom_site_fract_z
Pm1 Pm 0.000 0.000 0.000
Lu1 Lu 0.000 0.000 0.500
Al1 Al 0.500 0.500 0.270
# - Magnetic moment: 0.00 μB/f.u.
# - Formation enthalpy at 0 K: -0.378 eV per atom
# - ΔE to the lowest computed polymorph: 0.000 eV/atom
# - Calculated volume: 23.5 Å³/atom